# 1
This record from Alexandria via LeMat-Bulk describes crystalline Ca2TbNpN4 at its relaxed geometry. The functional is PBE.

Unit cell a=5.9988 b=3.5106 c=6.0230 alpha=90.00 beta=108.82 gamma=90.00
Closest atoms and distances in Å follow each position.
Space group P2/m (No. 10)
Unique sites:
Ca1 0.0000 0.0000 0.0000 x1  6 N 2.60-2.71
Ca2 0.5000 0.5000 0.0000 x1  6 N 2.49-2.54
Tb1 0.0000 0.5000 0.5000 x1  6 N 2.41-2.44
Np1 0.5000 0.0000 0.5000 x1  6 N 2.18-2.36
N1 0.2670 0.0000 0.7128 x2  1 Np 2.18
N2 0.2693 0.5000 0.2783 x2  2 Np 2.36, 1 Tb 2.41, 3 Ca 2.49-2.60

Calculated values
- Total moment: 0.2501 μB/atom
- Raw formation energy: -125 kJ/mol of atoms


# 2
This record from Alexandria via LeMat-Bulk describes crystalline CaNpTcN3 at its relaxed geometry. The functional is PBE.

Unit cell a=7.4037 b=3.2906 c=7.5497 alpha=90.00 beta=98.65 gamma=90.00
Closest atoms and distances in Å follow each position.
Space group P2_1/m (No. 11)
Unique sites:
Ca1 0.1716 0.2500 0.1915 x2  5 N 2.49-2.65
Np1 0.3568 0.7500 0.8320 x2  5 N 2.18-2.30
Tc1 0.1028 0.2500 0.5894 x2  4 N 2.01-2.12
N1 0.1465 0.2500 0.8592 x2  1 Tc 2.01
N2 0.1863 0.7500 0.4452 x2  3 Tc 2.12
N3 0.4323 0.7500 0.1223 x2  3 Np 2.18-2.26

Calculated values
- Total moment: 0.3128 μB/atom
- Raw formation energy: -62 kJ/mol of atoms


Copy entry 2 word for word.
This record from Alexandria via LeMat-Bulk describes crystalline CaNpTcN3 at its relaxed geometry. The functional is PBE.

Unit cell a=7.4037 b=3.2906 c=7.5497 alpha=90.00 beta=98.65 gamma=90.00
Closest atoms and distances in Å follow each position.
Space group P2_1/m (No. 11)
Unique sites:
Ca1 0.1716 0.2500 0.1915 x2  5 N 2.49-2.65
Np1 0.3568 0.7500 0.8320 x2  5 N 2.18-2.30
Tc1 0.1028 0.2500 0.5894 x2  4 N 2.01-2.12
N1 0.1465 0.2500 0.8592 x2  1 Tc 2.01
N2 0.1863 0.7500 0.4452 x2  3 Tc 2.12
N3 0.4323 0.7500 0.1223 x2  3 Np 2.18-2.26

Calculated values
- Total moment: 0.3128 μB/atom
- Raw formation energy: -62 kJ/mol of atoms


Q: raw formation energy of number 1 (Ca2TbNpN4)?
A: -125 kJ/mol of atoms


Q: Which value of raw formation energy does entry 2 give?
A: -62 kJ/mol of atoms


Q: Among the records above, which one has the lowest raw formation energy?
A: Ca2TbNpN4